(1)
Si2AsIr | PBE | optimized geometry

The space group is Immm (71). For the total energy, the calculation gives -23.33 eV per cell.

Cell lengths 5.897, 5.897, 5.897 Å; angles 151.96, 136.55, 52.51 degrees
Positions (direct):
Si 0.203 0.203 0.000
Si 0.797 0.797 0.000
As 0.500 0.000 0.500
Ir 0.000 0.500 0.500

(2)
BaCuRe | PBE | optimized geometry

For the distance to the lowest polymorph of the same formula, the calculation gives 583 meV/atom. The space group is F-43m (216). For the formation energy, the calculation gives 4.55 eV/f.u. For the total energy, the calculation gives -13.92 eV per cell.

Cell lengths 4.827, 4.827, 4.827 Å; angles 60.00, 60.00, 60.00 degrees
Positions (direct):
Ba 0.000 0.000 0.000
Cu 0.250 0.250 0.250
Re 0.500 0.500 0.500

(3)
KCo2Te | PBE | optimized geometry

The space group is P4/mmm (123). For the total energy, the calculation gives -15.11 eV per cell.

Cell lengths 4.445, 4.445, 4.055 Å; angles 90.00, 90.00, 90.00 degrees
Positions (direct):
K 0.000 0.000 0.000
Co 0.000 0.500 0.500
Co 0.500 0.000 0.500
Te 0.500 0.500 0.000

(4)
Ag8PtAu2 | PBE | optimized geometry

For the distance to the lowest polymorph of the same formula, the calculation gives 0 meV/atom. The space group is Immm (71). For the formation energy, the calculation gives 0.54 eV/f.u. For the total energy, the calculation gives -34.86 eV per cell.

Cell lengths 7.657, 7.657, 7.657 Å; angles 146.94, 122.36, 68.07 degrees
Positions (direct):
Ag 0.123 0.348 0.775
Ag 0.152 0.152 0.000
Ag 0.289 0.000 0.289
Ag 0.427 0.652 0.775
Ag 0.573 0.348 0.225
Ag 0.711 0.000 0.711
Ag 0.848 0.848 0.000
Ag 0.877 0.652 0.225
Pt 0.000 0.500 0.500
Au 0.310 0.810 0.500
Au 0.690 0.190 0.500

(5)
LuScTc | PBE | optimized geometry

The space group is I4mm (107). For the formation energy, the calculation gives -0.51 eV/f.u. For the total energy, the calculation gives -21.73 eV per cell.

Cell lengths 6.204, 6.204, 6.204 Å; angles 148.55, 148.55, 45.08 degrees
Positions (direct):
Lu 0.000 0.000 0.000
Sc 0.268 0.268 0.000
Tc 0.644 0.644 0.000

(6)
Ac2Zn4In3Ag | PBE | optimized geometry

The space group is P-4m2 (115). For the formation energy, the calculation gives -3.25 eV/f.u. For the total energy, the calculation gives -27.63 eV per cell.

Cell lengths 4.654, 4.654, 11.097 Å; angles 90.00, 90.00, 90.00 degrees
Positions (direct):
Ac 0.000 0.500 0.247
Ac 0.500 0.000 0.753
Zn 0.000 0.000 0.000
Zn 0.000 0.500 0.628
Zn 0.500 0.000 0.372
Zn 0.500 0.500 0.000
In 0.000 0.500 0.868
In 0.500 0.000 0.132
In 0.500 0.500 0.500
Ag 0.000 0.000 0.500

(7)
AcTlNi | PBE | optimized geometry

For the distance to the lowest polymorph of the same formula, the calculation gives 119 meV/atom. The space group is F-43m (216). For the formation energy, the calculation gives -0.51 eV/f.u. For the total energy, the calculation gives -12.76 eV per cell.

Cell lengths 4.900, 4.900, 4.900 Å; angles 60.00, 60.00, 60.00 degrees
Positions (direct):
Ac 0.000 0.000 0.000
Tl 0.500 0.500 0.500
Ni 0.250 0.250 0.250

(8)
GaSiAgH2 | PBE | optimized geometry

The space group is P4/mmm (123). For the total energy, the calculation gives -16.30 eV per cell.

Cell lengths 3.629, 3.629, 5.324 Å; angles 90.00, 90.00, 90.00 degrees
Positions (direct):
Ga 0.000 0.000 0.000
Si 0.500 0.500 0.500
Ag 0.500 0.500 0.000
H 0.000 0.500 0.500
H 0.500 0.000 0.500

(9)
NaNi4H8 | PBE | optimized geometry

For the distance to the lowest polymorph of the same formula, the calculation gives 44 meV/atom. The space group is F-43m (216). For the total energy, the calculation gives -51.94 eV per cell.

Cell lengths 5.240, 5.240, 5.240 Å; angles 60.00, 60.00, 60.00 degrees
Positions (direct):
Na 0.000 0.000 0.000
Ni 0.131 0.623 0.623
Ni 0.623 0.131 0.623
Ni 0.623 0.623 0.131
Ni 0.623 0.623 0.623
H 0.391 0.391 0.391
H 0.391 0.391 0.827
H 0.391 0.827 0.391
H 0.460 0.847 0.847
H 0.827 0.391 0.391
H 0.847 0.460 0.847
H 0.847 0.847 0.460
H 0.847 0.847 0.847

(10)
Li3ScPd4 | PBE | optimized geometry

For the distance to the lowest polymorph of the same formula, the calculation gives 161 meV/atom. The space group is Imm2 (44). For the formation energy, the calculation gives -3.31 eV/f.u. For the total energy, the calculation gives -36.15 eV per cell.

Cell lengths 5.818, 5.818, 5.818 Å; angles 124.14, 78.41, 129.77 degrees
Positions (direct):
Li 0.000 0.000 0.000
Li 0.508 0.738 0.770
Li 0.968 0.738 0.230
Sc 0.972 0.472 0.500
Pd 0.474 0.225 0.751
Pd 0.474 0.723 0.249
Pd 0.484 0.237 0.247
Pd 0.989 0.237 0.753